This record from the Alexandria database describes an optimized crystal structure of Sm5YAl3. The functional is GGA-PBE.

Lattice parameters (Å, degrees): 6.776 9.215 9.215 120.00 90.00 90.00
Fractional positions:
Sm 0.500 0.667 0.333
Sm 0.250 0.663 0.000
Y 0.000 0.000 0.000
Al 0.750 0.327 0.327
Al 0.250 0.327 0.000
Sm 0.250 0.000 0.663
Al 0.750 0.673 0.000
Sm 0.750 0.337 0.000
Y 0.500 0.000 0.000
Sm 0.250 0.337 0.337
Sm 0.500 0.333 0.667
Al 0.750 0.000 0.673
Sm 0.000 0.667 0.333
Sm 0.750 0.000 0.337
Al 0.250 0.000 0.327
Sm 0.000 0.333 0.667
Sm 0.750 0.663 0.663
Al 0.250 0.673 0.673

Computed properties:
Total magnetic moment, μB/f.u.: 0.002
Energy, eV/atom: -4.836